Material: Nb2AlAg
Method: DFT, PBE-GGA
State: relaxed Values from VASP.

Calculated values
**Calculated total energy**: -25.69 eV for the cell shown

Geometry as Quantum ESPRESSO input:
```
&SYSTEM
  ibrav = 0, nat = 4, ntyp = 3
/
ATOMIC_SPECIES
Ag 107.87 Ag.upf
Al 26.98 Al.upf
Nb 92.91 Nb.upf
CELL_PARAMETERS angstrom
1.685 -4.078 1.396
-0.807 -1.484 4.309
-2.865 -3.562 0.722
ATOMIC_POSITIONS crystal
Ag 0.250 0.250 0.250
Al 0.500 0.500 0.500
Nb 0.000 0.000 0.000
Nb 0.750 0.750 0.750
```